Record 1
Compound: Na8B13C3
Source: Alexandria via LeMat-Bulk
Functional: PBE
Structure: relaxed

a = 9.097 Å, b = 9.097 Å, c = 5.881 Å
α = 99.31°, β = 99.31°, γ = 32.64°
Positions (direct):
B 0.944 0.306 0.312
B 0.539 0.211 0.437
B 0.471 0.780 0.050
B 0.039 0.711 0.687
B 0.710 0.040 0.187
B 0.039 0.711 0.188
B 0.285 0.965 0.312
C 0.789 0.461 0.057
Na 0.502 0.500 0.250
Na 0.750 0.751 0.875
C 0.292 0.958 0.812
C 0.789 0.461 0.568
B 0.470 0.779 0.575
B 0.711 0.040 0.688
Na 0.249 0.249 0.124
Na 0.249 0.249 0.625
Na 0.001 0.001 0.000
Na 0.750 0.748 0.375
Na 0.499 0.500 0.750
B 0.962 0.288 0.812
B 0.539 0.211 0.938
B 0.210 0.540 0.438
B 0.210 0.539 0.937
Na 0.001 0.001 0.501

Computed properties:
calculated formation energy = 224 meV/atom
total magnetic moment = 0.00 μB per cell
relative energy among the computed polymorphs = 0.042 eV/atom
space-group type = C2, No. 5


Record 2
Compound: LaSn2I
Source: Alexandria via LeMat-Bulk
Functional: PBE
Structure: relaxed

a = 5.645 Å, b = 5.645 Å, c = 5.645 Å
α = 60.00°, β = 60.00°, γ = 60.00°
Positions (direct):
Sn 0.750 0.750 0.750
La 0.500 0.500 0.500
I 0.000 0.000 0.000
Sn 0.250 0.250 0.250

Computed properties:
formation energy (no corrections) = -0.08 eV per atom
total magnetic moment = 0.00 μB per cell
relative energy among the computed polymorphs = 0.076 eV/atom
space-group type = Fm-3m, No. 225


Record 3
Compound: CuCBr3
Source: Alexandria via LeMat-Bulk
Functional: PBE
Structure: relaxed

a = 4.969 Å, b = 4.969 Å, c = 4.969 Å
α = 90.00°, β = 90.00°, γ = 90.00°
Each line ends with the local moment (μB).
Positions (direct):
Cu 0.000 0.000 0.000  0.00
C 0.500 0.500 0.500  0.78
Br 0.000 0.500 0.000  -0.08
Br 0.000 0.000 0.500  -0.08
Br 0.500 0.000 0.000  -0.08

Computed properties:
formation energy (no corrections) = 1.41 eV per atom
total magnetic moment = 1.22 μB per cell
space-group type = Pm-3m, No. 221


Record 4
Compound: Cs4KRb7
Source: Alexandria via LeMat-Bulk
Functional: PBE
Structure: relaxed

a = 8.545 Å, b = 17.479 Å, c = 9.463 Å
α = 84.25°, β = 63.16°, γ = 75.85°
Positions (direct):
K 0.000 0.000 0.000
Rb 0.791 0.921 0.498
Rb 0.629 0.523 0.220
Cs 0.160 0.366 0.314
Rb 0.898 0.283 0.920
Rb 0.500 0.000 0.000
Rb 0.102 0.717 0.080
Rb 0.371 0.477 0.780
Cs 0.621 0.216 0.542
Cs 0.840 0.634 0.686
Rb 0.209 0.079 0.502
Cs 0.379 0.784 0.458

Computed properties:
calculated formation energy = 41 meV/atom
total magnetic moment = 0.00 μB per cell
space-group type = C2/m, No. 12


DFT total energy, record by record: -119.659; -14.801; -11.279; -10.787 eV per cell